1.
Compound: La8Sm2Er
Source: the Alexandria database
Functional: GGA-PBE
Structure: relaxed

Calculated values
The calculation puts the formation enthalpy at 0 K at 2.85 kcal/mol of atoms.

Geometry as POSCAR:
```
La8Sm2Er
1.0
5.9856 -0.6077 -0.9122
-1.8522 9.3959 -1.1411
-1.8522 -4.6718 8.2316
La Sm Er
8 2 1
Direct
0.8170 0.9043 0.6686
0.8170 0.6686 0.9043
0.2993 0.5806 0.5806
0.5000 0.7948 0.2052
0.5000 0.2052 0.7948
0.7007 0.4194 0.4194
0.1830 0.3314 0.0957
0.1830 0.0957 0.3314
0.0000 0.3101 0.6899
0.0000 0.6899 0.3101
0.5000 0.0000 0.0000
```

---

2.
Compound: AcReSi3
Source: the Alexandria database
Functional: GGA-PBE
Structure: relaxed

Calculated values
As for the energy relative to the elements, uncorrected: -38 kJ per mole of atoms.

Geometry as POSCAR:
```
AcReSi3
1.0
-2.7598 3.3700 -0.7914
-3.4394 -2.5547 1.1154
3.5485 1.0911 4.6549
Ac Re Si
1 1 3
Direct
0.0012 0.0012 0.0025
0.6546 0.6546 0.3092
0.2582 0.7582 0.5164
0.7582 0.2582 0.5164
0.4180 0.4180 0.8360
```